# 1
DFT (PBE-GGA) results for a geometry-optimized PrDyBi structure.

Lattice parameters (Å, degrees): 5.2648 5.2648 5.2648 60.00 60.00 60.00
Fractional positions:
Pr (0.0000, 0.0000, 0.0000)
Dy (0.5000, 0.5000, 0.5000)
Bi (0.7500, 0.7500, 0.7500)

Calculated values
- energy (eV for the cell shown) = -14.54



# 2
DFT (PBE-GGA) results for a geometry-optimized PrDy2Bi3 structure.

Lattice parameters (Å, degrees): 4.5069 4.5069 11.0618 90.00 90.00 120.00
Fractional positions:
Pr (0.0000, 0.0000, 0.0000)
Dy (0.3333, 0.6667, 0.3377)
Dy (0.6667, 0.3333, 0.6623)
Bi (0.0000, 0.0000, 0.5000)
Bi (0.3333, 0.6667, 0.8241)
Bi (0.6667, 0.3333, 0.1759)

Calculated values
- energy (eV for the cell shown) = -31.55



# 3
DFT (PBE-GGA) results for a geometry-optimized DyBiPt structure.

Lattice parameters (Å, degrees): 4.7608 4.7608 4.7608 60.00 60.00 60.00
Fractional positions:
Dy (0.0000, 0.0000, 0.0000)
Bi (0.5000, 0.5000, 0.5000)
Pt (0.7500, 0.7500, 0.7500)

Calculated values
- energy (eV for the cell shown) = -17.85



# 4
DFT (PBE-GGA) results for a geometry-optimized DyBiPt structure.

Lattice parameters (Å, degrees): 7.6618 7.6618 4.1837 90.00 90.00 120.00
Fractional positions:
Dy (0.0000, 0.6054, 0.0000)
Dy (0.3946, 0.3946, 0.0000)
Dy (0.6054, 0.0000, 0.0000)
Bi (0.0000, 0.2695, 0.5000)
Bi (0.2695, 0.0000, 0.5000)
Bi (0.7305, 0.7305, 0.5000)
Pt (0.0000, 0.0000, 0.0000)
Pt (0.3333, 0.6667, 0.5000)
Pt (0.6667, 0.3333, 0.5000)

Calculated values
- energy (eV for the cell shown) = -51.85



# 5
DFT (PBE-GGA) results for a geometry-optimized DyBiPt structure.

Lattice parameters (Å, degrees): 4.8927 4.8927 4.8927 60.00 60.00 60.00
Fractional positions:
Dy (0.0000, 0.0000, 0.0000)
Bi (0.7500, 0.7500, 0.7500)
Pt (0.2500, 0.2500, 0.2500)

Calculated values
- energy (eV for the cell shown) = -15.77



# 6
DFT (PBE-GGA) results for a geometry-optimized DyBiPt structure.

Lattice parameters (Å, degrees): 8.3936 8.3936 3.5146 90.00 90.00 120.00
Fractional positions:
Dy (0.0000, 0.2987, 0.0000)
Dy (0.2987, 0.0000, 0.0000)
Dy (0.7013, 0.7013, 0.0000)
Bi (0.0000, 0.0000, 0.5000)
Bi (0.3333, 0.6667, 0.0000)
Bi (0.6667, 0.3333, 0.0000)
Pt (0.0000, 0.6520, 0.5000)
Pt (0.3480, 0.3480, 0.5000)
Pt (0.6520, 0.0000, 0.5000)

Calculated values
- energy (eV for the cell shown) = -48.01



# 7
DFT (PBE-GGA) results for a geometry-optimized DyPuBi structure.

Lattice parameters (Å, degrees): 5.2677 5.2677 5.2677 60.00 60.00 60.00
Fractional positions:
Dy (0.0000, 0.0000, 0.0000)
Pu (0.7500, 0.7500, 0.7500)
Bi (0.5000, 0.5000, 0.5000)

Calculated values
- energy (eV for the cell shown) = -22.24



# 8
DFT (PBE-GGA) results for a geometry-optimized DyReBi structure.

Lattice parameters (Å, degrees): 4.8706 4.8706 4.8706 60.00 60.00 60.00
Fractional positions:
Dy (0.0000, 0.0000, 0.0000)
Re (0.2500, 0.2500, 0.2500)
Bi (0.7500, 0.7500, 0.7500)

Calculated values
- energy (eV for the cell shown) = -17.71



# 9
DFT (PBE-GGA) results for a geometry-optimized DyBi2S4 structure.

Lattice parameters (Å, degrees): 6.8711 6.8711 15.1945 110.23 110.23 33.74
Fractional positions:
Dy (0.0000, 0.0000, 0.0000)
Dy (0.5000, 0.5000, 0.5000)
Bi (0.1510, 0.1510, 0.3621)
Bi (0.2016, 0.2016, 0.8542)
Bi (0.7984, 0.7984, 0.1458)
Bi (0.8490, 0.8490, 0.6379)
S (0.1537, 0.1537, 0.5475)
S (0.1704, 0.1704, 0.1761)
S (0.3898, 0.3898, 0.0524)
S (0.4969, 0.4969, 0.6817)
S (0.5031, 0.5031, 0.3183)
S (0.6102, 0.6102, 0.9476)
S (0.8296, 0.8296, 0.8239)
S (0.8463, 0.8463, 0.4525)

Calculated values
- energy (eV for the cell shown) = -70.06



# 10
DFT (PBE-GGA) results for a geometry-optimized SmDyBi2S2 structure.

Lattice parameters (Å, degrees): 4.2295 4.2295 8.7861 90.00 90.00 90.00
Fractional positions:
Sm (0.0000, 0.0000, 0.0000)
Dy (0.5000, 0.5000, 0.6320)
Bi (0.0000, 0.5000, 0.3177)
Bi (0.5000, 0.0000, 0.3177)
S (0.0000, 0.0000, 0.6854)
S (0.5000, 0.5000, 0.9388)

Calculated values
- energy (eV for the cell shown) = -33.14



# 11
DFT (PBE-GGA) results for a geometry-optimized TbDyBi2S2 structure.

Lattice parameters (Å, degrees): 4.2163 4.2163 8.7148 90.00 90.00 90.00
Fractional positions:
Tb (0.0000, 0.0000, 0.0000)
Dy (0.5000, 0.5000, 0.6326)
Bi (0.0000, 0.5000, 0.3165)
Bi (0.5000, 0.0000, 0.3165)
S (0.0000, 0.0000, 0.6891)
S (0.5000, 0.5000, 0.9418)

Calculated values
- energy (eV for the cell shown) = -32.89



# 12
DFT (PBE-GGA) results for a geometry-optimized DyBiSb structure.

Lattice parameters (Å, degrees): 5.2235 5.2235 5.2235 60.00 60.00 60.00
Fractional positions:
Dy (0.0000, 0.0000, 0.0000)
Bi (0.7500, 0.7500, 0.7500)
Sb (0.2500, 0.2500, 0.2500)

Calculated values
- ΔE to the lowest computed polymorph (eV per atom) = 0.0000



# 13
DFT (PBE-GGA) results for a geometry-optimized DyBiSb structure.

Lattice parameters (Å, degrees): 5.2043 5.2043 5.2043 60.00 60.00 60.00
Fractional positions:
Dy (0.0000, 0.0000, 0.0000)
Bi (0.5000, 0.5000, 0.5000)
Sb (0.7500, 0.7500, 0.7500)

Calculated values
- ΔE to the lowest computed polymorph (eV per atom) = 0.0834



# 14
DFT (PBE-GGA) results for a geometry-optimized Dy3Sc2Bi3 structure.

Lattice parameters (Å, degrees): 8.9612 8.9612 6.1984 90.00 90.00 120.00
Fractional positions:
Dy (0.0000, 0.2431, 0.2500)
Dy (0.0000, 0.7569, 0.7500)
Dy (0.2431, 0.0000, 0.2500)
Dy (0.2431, 0.2431, 0.7500)
Dy (0.7569, 0.0000, 0.7500)
Dy (0.7569, 0.7569, 0.2500)
Sc (0.3333, 0.6667, 0.0000)
Sc (0.3333, 0.6667, 0.5000)
Sc (0.6667, 0.3333, 0.0000)
Sc (0.6667, 0.3333, 0.5000)
Bi (0.0000, 0.3955, 0.7500)
Bi (0.0000, 0.6045, 0.2500)
Bi (0.3955, 0.0000, 0.7500)
Bi (0.3955, 0.3955, 0.2500)
Bi (0.6045, 0.0000, 0.2500)
Bi (0.6045, 0.6045, 0.7500)

Calculated values
- energy (eV for the cell shown) = -88.17



# 15
DFT (PBE-GGA) results for a geometry-optimized DyScBi structure.

Lattice parameters (Å, degrees): 5.0395 5.0395 5.0395 60.00 60.00 60.00
Fractional positions:
Dy (0.0000, 0.0000, 0.0000)
Sc (0.5000, 0.5000, 0.5000)
Bi (0.2500, 0.2500, 0.2500)

Calculated values
- energy (eV for the cell shown) = -15.72



# 16
DFT (PBE-GGA) results for a geometry-optimized DyScBi structure.

Lattice parameters (Å, degrees): 5.1873 5.1873 5.1873 60.00 60.00 60.00
Fractional positions:
Dy (0.0000, 0.0000, 0.0000)
Sc (0.2500, 0.2500, 0.2500)
Bi (0.7500, 0.7500, 0.7500)

Calculated values
- energy (eV for the cell shown) = -14.24



# 17
DFT (PBE-GGA) results for a geometry-optimized DySc2Bi structure.

Lattice parameters (Å, degrees): 11.0379 11.0379 4.4326 90.00 90.00 156.85
Fractional positions:
Dy (0.1915, 0.8085, 0.7500)
Dy (0.8085, 0.1915, 0.2500)
Sc (0.0542, 0.9458, 0.2500)
Sc (0.4435, 0.5565, 0.2500)
Sc (0.5565, 0.4435, 0.7500)
Sc (0.9458, 0.0542, 0.7500)
Bi (0.3394, 0.6606, 0.7500)
Bi (0.6606, 0.3394, 0.2500)

Calculated values
- energy (eV for the cell shown) = -46.39



# 18
DFT (PBE-GGA) results for a geometry-optimized Dy2Bi2Se5 structure.

Lattice parameters (Å, degrees): 4.1780 4.1780 16.6858 90.00 90.00 120.00
Fractional positions:
Dy (0.3333, 0.6667, 0.0963)
Dy (0.6667, 0.3333, 0.9037)
Bi (0.0000, 0.0000, 0.3291)
Bi (0.0000, 0.0000, 0.6709)
Se (0.0000, 0.0000, 0.0000)
Se (0.3333, 0.6667, 0.4186)
Se (0.3333, 0.6667, 0.8045)
Se (0.6667, 0.3333, 0.1955)
Se (0.6667, 0.3333, 0.5814)

Calculated values
- energy (eV for the cell shown) = -43.66



# 19
DFT (PBE-GGA) results for a geometry-optimized Dy3BiSe2 structure.

Lattice parameters (Å, degrees): 4.2034 4.2034 10.2712 90.00 90.00 120.00
Fractional positions:
Dy (0.0000, 0.0000, 0.0000)
Dy (0.3333, 0.6667, 0.6900)
Dy (0.6667, 0.3333, 0.3100)
Bi (0.0000, 0.0000, 0.5000)
Se (0.3333, 0.6667, 0.1564)
Se (0.6667, 0.3333, 0.8436)

Calculated values
- energy (eV for the cell shown) = -33.46



# 20
DFT (PBE-GGA) results for a geometry-optimized SmDyBi2Se2 structure.

Lattice parameters (Å, degrees): 4.2918 4.2918 9.0202 90.00 90.00 90.00
Fractional positions:
Sm (0.0000, 0.0000, 0.0000)
Dy (0.5000, 0.5000, 0.6084)
Bi (0.0000, 0.5000, 0.3063)
Bi (0.5000, 0.0000, 0.3063)
Se (0.0000, 0.0000, 0.6741)
Se (0.5000, 0.5000, 0.9272)

Calculated values
- energy (eV for the cell shown) = -31.64